Entry 1:
The following is a PBE calculation of crystalline LaHfCu at its relaxed geometry, from OQMD via LeMat-Bulk.

SG: F-43m (216)
formation energy: 0.69 eV per atom
energy above the lowest structure with this stoichiometry: 0.000 eV per atom
volume: 24.13 Å³ per atom
spin magnetization: 0.0 μB/f.u.

Structure (POSCAR):
```
LaHfCu
1.0
0.000 3.308 3.308
3.308 0.000 3.308
3.308 3.308 0.000
La Hf Cu
1 1 1
Direct
0.000 0.000 0.000 La
0.750 0.750 0.750 Hf
0.500 0.500 0.500 Cu
```

---

Entry 2:
The following is a PBE calculation of crystalline LaHfCuNi at its relaxed geometry, from OQMD via LeMat-Bulk.

SG: F-43m (216)
formation energy: -0.04 eV per atom
energy above the lowest structure with this stoichiometry: 0.000 eV per atom
volume: 19.54 Å³ per atom
spin magnetization: 0.0 μB/f.u.

Structure (POSCAR):
```
LaHfCuNi
1.0
0.000 3.394 3.394
3.394 0.000 3.394
3.394 3.394 0.000
La Hf Cu Ni
1 1 1 1
Direct
0.000 0.000 0.000 La
0.500 0.500 0.500 Hf
0.250 0.250 0.250 Cu
0.750 0.750 0.750 Ni
```

---

Entry 3:
The following is a PBE calculation of crystalline LaHfCuNi at its relaxed geometry, from OQMD via LeMat-Bulk.

SG: F-43m (216)
formation energy: 0.15 eV per atom
energy above the lowest structure with this stoichiometry: 0.190 eV per atom
volume: 17.82 Å³ per atom
spin magnetization: 0.0 μB/f.u.

Structure (POSCAR):
```
LaHfCuNi
1.0
0.000 3.291 3.291
3.291 0.000 3.291
3.291 3.291 0.000
La Hf Cu Ni
1 1 1 1
Direct
0.000 0.000 0.000 La
0.250 0.250 0.250 Hf
0.500 0.500 0.500 Cu
0.750 0.750 0.750 Ni
```

---

Entry 4:
The following is a PBE calculation of crystalline LaHfCuNi at its relaxed geometry, from OQMD via LeMat-Bulk.

SG: F-43m (216)
formation energy: 0.14 eV per atom
energy above the lowest structure with this stoichiometry: 0.179 eV per atom
volume: 18.14 Å³ per atom
spin magnetization: 0.0 μB/f.u.

Structure (POSCAR):
```
LaHfCuNi
1.0
0.000 3.311 3.311
3.311 0.000 3.311
3.311 3.311 0.000
La Hf Cu Ni
1 1 1 1
Direct
0.000 0.000 0.000 La
0.750 0.750 0.750 Hf
0.250 0.250 0.250 Cu
0.500 0.500 0.500 Ni
```

---

Entry 5:
The following is a PBE calculation of crystalline LaHfCuPt at its relaxed geometry, from OQMD via LeMat-Bulk.

SG: F-43m (216)
formation energy: -0.33 eV per atom
energy above the lowest structure with this stoichiometry: 0.074 eV per atom
volume: 18.88 Å³ per atom
spin magnetization: 0.0 μB/f.u.

Structure (POSCAR):
```
LaHfCuPt
1.0
0.000 3.355 3.355
3.355 0.000 3.355
3.355 3.355 0.000
La Hf Cu Pt
1 1 1 1
Direct
0.000 0.000 0.000 La
0.750 0.750 0.750 Hf
0.250 0.250 0.250 Cu
0.500 0.500 0.500 Pt
```

---

Entry 6:
The following is a PBE calculation of crystalline LaHfCuPt at its relaxed geometry, from OQMD via LeMat-Bulk.

SG: F-43m (216)
formation energy: -0.18 eV per atom
energy above the lowest structure with this stoichiometry: 0.221 eV per atom
volume: 19.03 Å³ per atom
spin magnetization: 0.0 μB/f.u.

Structure (POSCAR):
```
LaHfCuPt
1.0
0.000 3.364 3.364
3.364 0.000 3.364
3.364 3.364 0.000
La Hf Cu Pt
1 1 1 1
Direct
0.000 0.000 0.000 La
0.250 0.250 0.250 Hf
0.500 0.500 0.500 Cu
0.750 0.750 0.750 Pt
```

---

Entry 7:
The following is a PBE calculation of crystalline LaHfCuPt at its relaxed geometry, from OQMD via LeMat-Bulk.

SG: F-43m (216)
formation energy: -0.40 eV per atom
energy above the lowest structure with this stoichiometry: 0.000 eV per atom
volume: 21.02 Å³ per atom
spin magnetization: 0.0 μB/f.u.

Structure (POSCAR):
```
LaHfCuPt
1.0
0.000 3.477 3.477
3.477 0.000 3.477
3.477 3.477 0.000
La Hf Cu Pt
1 1 1 1
Direct
0.000 0.000 0.000 La
0.500 0.500 0.500 Hf
0.250 0.250 0.250 Cu
0.750 0.750 0.750 Pt
```

---

Entry 8:
The following is a PBE calculation of crystalline Li2HfCu at its relaxed geometry, from OQMD via LeMat-Bulk.

SG: F-43m (216)
volume: 15.18 Å³ per atom
total energy: -16.7 eV/cell
spin magnetization: 0.8 μB/f.u.

Structure (POSCAR):
```
Li2HfCu
1.0
0.000 3.120 3.120
3.120 0.000 3.120
3.120 3.120 0.000
Li Hf Cu
2 1 1
Direct
0.000 0.000 0.000 Li
0.250 0.250 0.250 Li
0.500 0.500 0.500 Hf
0.750 0.750 0.750 Cu
```

---

Entry 9:
The following is a PBE calculation of crystalline LiHfCu at its relaxed geometry, from OQMD via LeMat-Bulk.

SG: F-43m (216)
volume: 16.37 Å³ per atom
total energy: -13.5 eV/cell
spin magnetization: 0.4 μB/f.u.

Structure (POSCAR):
```
LiHfCu
1.0
0.000 2.907 2.907
2.907 0.000 2.907
2.907 2.907 0.000
Li Hf Cu
1 1 1
Direct
0.000 0.000 0.000 Li
0.250 0.250 0.250 Hf
0.750 0.750 0.750 Cu
```

---

Entry 10:
The following is a PBE calculation of crystalline LiHfCu2 at its relaxed geometry, from OQMD via LeMat-Bulk.

SG: F-43m (216)
volume: 13.93 Å³ per atom
total energy: -19.0 eV/cell
spin magnetization: 0.1 μB/f.u.

Structure (POSCAR):
```
LiHfCu2
1.0
0.000 3.032 3.032
3.032 0.000 3.032
3.032 3.032 0.000
Li Hf Cu
1 1 2
Direct
0.000 0.000 0.000 Li
0.250 0.250 0.250 Hf
0.500 0.500 0.500 Cu
0.750 0.750 0.750 Cu
```

---

Entry 11:
The following is a PBE calculation of crystalline Li2HfCu at its relaxed geometry, from OQMD via LeMat-Bulk.

SG: F-43m (216)
volume: 15.17 Å³ per atom
total energy: -16.7 eV/cell
spin magnetization: 0.8 μB/f.u.

Structure (POSCAR):
```
Li2HfCu
1.0
0.000 3.119 3.119
3.119 0.000 3.119
3.119 3.119 0.000
Li Hf Cu
2 1 1
Direct
0.000 0.000 0.000 Li
0.250 0.250 0.250 Li
0.750 0.750 0.750 Hf
0.500 0.500 0.500 Cu
```

---

Entry 12:
The following is a PBE calculation of crystalline LiHfCu3S4 at its relaxed geometry, from OQMD via LeMat-Bulk.

SG: P2_1/m (11)
energy above the lowest structure with this stoichiometry: 0.067 eV per atom
volume: 20.56 Å³ per atom
spin magnetization: 0.0 μB/f.u.

Structure (POSCAR):
```
LiHfCu3S4
1.0
5.735 0.000 0.000
0.000 7.387 0.000
-2.046 0.000 8.737
Li Hf Cu S
2 2 6 8
Direct
0.144 0.250 0.195 Li
0.856 0.750 0.805 Li
0.286 0.250 0.706 Hf
0.714 0.750 0.294 Hf
0.210 0.750 0.235 Cu
0.266 0.558 0.483 Cu
0.266 0.942 0.483 Cu
0.734 0.058 0.517 Cu
0.734 0.442 0.517 Cu
0.790 0.250 0.765 Cu
0.015 0.250 0.450 S
0.138 0.250 0.929 S
0.448 0.006 0.280 S
0.448 0.494 0.280 S
0.552 0.506 0.720 S
0.552 0.994 0.720 S
0.862 0.750 0.071 S
0.985 0.750 0.550 S
```

---

Entry 13:
The following is a PBE calculation of crystalline LiHfCuS3 at its relaxed geometry, from OQMD via LeMat-Bulk.

SG: P2_1/m (11)
energy above the lowest structure with this stoichiometry: 0.000 eV per atom
volume: 18.13 Å³ per atom
spin magnetization: 0.0 μB/f.u.

Structure (POSCAR):
```
LiHfCuS3
1.0
7.107 0.000 0.000
0.000 3.632 0.000
-2.006 0.000 8.429
Li Hf Cu S
2 2 2 6
Direct
0.227 0.250 0.194 Li
0.773 0.750 0.806 Li
0.190 0.750 0.669 Hf
0.810 0.250 0.331 Hf
0.414 0.250 0.907 Cu
0.586 0.750 0.093 Cu
0.078 0.750 0.355 S
0.235 0.750 0.967 S
0.425 0.250 0.647 S
0.575 0.750 0.353 S
0.765 0.250 0.033 S
0.922 0.250 0.645 S
```

---

Entry 14:
The following is a PBE calculation of crystalline LiHfCuS3 at its relaxed geometry, from OQMD via LeMat-Bulk.

SG: Pnma (62)
energy above the lowest structure with this stoichiometry: 0.111 eV per atom
volume: 17.27 Å³ per atom
spin magnetization: 0.0 μB/f.u.

Structure (POSCAR):
```
LiHfCuS3
1.0
7.282 0.000 0.000
0.000 3.749 0.000
0.000 0.000 15.182
Li Hf Cu S
4 4 4 12
Direct
0.077 0.250 0.247 Li
0.423 0.750 0.747 Li
0.577 0.250 0.253 Li
0.923 0.750 0.753 Li
0.245 0.250 0.948 Hf
0.255 0.750 0.448 Hf
0.745 0.250 0.552 Hf
0.755 0.750 0.052 Hf
0.138 0.250 0.647 Cu
0.362 0.750 0.147 Cu
0.638 0.250 0.853 Cu
0.862 0.750 0.353 Cu
0.009 0.250 0.415 S
0.127 0.750 0.049 S
0.171 0.250 0.792 S
0.329 0.750 0.292 S
0.373 0.250 0.549 S
0.491 0.750 0.915 S
0.509 0.250 0.085 S
0.627 0.750 0.451 S
0.671 0.250 0.708 S
0.829 0.750 0.208 S
0.873 0.250 0.951 S
0.991 0.750 0.585 S
```

---

Entry 15:
The following is a PBE calculation of crystalline Li2HfCu2S4 at its relaxed geometry, from OQMD via LeMat-Bulk.

SG: C2/m (12)
volume: 16.72 Å³ per atom
total energy: -47.1 eV/cell
spin magnetization: 0.0 μB/f.u.

Structure (POSCAR):
```
Li2HfCu2S4
1.0
6.839 -1.820 0.000
6.839 1.820 0.000
-3.425 0.000 6.044
Li Hf Cu S
2 1 2 4
Direct
0.154 0.154 0.036 Li
0.846 0.846 0.964 Li
0.000 0.000 0.500 Hf
0.323 0.323 0.524 Cu
0.677 0.677 0.476 Cu
0.218 0.218 0.721 S
0.490 0.490 0.232 S
0.510 0.510 0.768 S
0.782 0.782 0.279 S
```

---

Entry 16:
The following is a PBE calculation of crystalline LiHfCu3S4 at its relaxed geometry, from OQMD via LeMat-Bulk.

SG: P-43m (215)
energy above the lowest structure with this stoichiometry: 0.000 eV per atom
volume: 19.32 Å³ per atom
spin magnetization: 0.0 μB/f.u.

Structure (POSCAR):
```
LiHfCu3S4
1.0
5.582 0.000 0.000
0.000 5.582 0.000
0.000 0.000 5.582
Li Hf Cu S
1 1 3 4
Direct
0.000 0.000 0.000 Li
0.500 0.500 0.500 Hf
0.000 0.500 0.500 Cu
0.500 0.000 0.500 Cu
0.500 0.500 0.000 Cu
0.253 0.253 0.253 S
0.253 0.747 0.747 S
0.747 0.253 0.747 S
0.747 0.747 0.253 S
```

---

Entry 17:
The following is a PBE calculation of crystalline LiHfCuS3 at its relaxed geometry, from OQMD via LeMat-Bulk.

SG: Pnma (62)
energy above the lowest structure with this stoichiometry: 0.052 eV per atom
volume: 17.80 Å³ per atom
spin magnetization: 0.0 μB/f.u.

Structure (POSCAR):
```
LiHfCuS3
1.0
11.153 0.000 0.000
0.000 3.638 0.000
0.000 0.000 10.532
Li Hf Cu S
4 4 4 12
Direct
0.136 0.250 0.014 Li
0.364 0.750 0.514 Li
0.636 0.250 0.486 Li
0.864 0.750 0.986 Li
0.056 0.250 0.674 Hf
0.444 0.750 0.174 Hf
0.556 0.250 0.826 Hf
0.944 0.750 0.326 Hf
0.245 0.250 0.285 Cu
0.255 0.750 0.785 Cu
0.745 0.250 0.215 Cu
0.755 0.750 0.715 Cu
0.060 0.750 0.851 S
0.082 0.250 0.418 S
0.228 0.750 0.148 S
0.272 0.250 0.648 S
0.418 0.750 0.918 S
0.440 0.250 0.351 S
0.560 0.750 0.649 S
0.582 0.250 0.082 S
0.728 0.750 0.352 S
0.772 0.250 0.852 S
0.918 0.750 0.582 S
0.940 0.250 0.149 S
```

---

Entry 18:
The following is a PBE calculation of crystalline LiHfCuS3 at its relaxed geometry, from OQMD via LeMat-Bulk.

SG: Cmcm (63)
energy above the lowest structure with this stoichiometry: 0.016 eV per atom
volume: 17.84 Å³ per atom
spin magnetization: 0.0 μB/f.u.

Structure (POSCAR):
```
LiHfCuS3
1.0
1.807 -6.117 0.000
1.807 6.117 0.000
0.000 0.000 9.686
Li Hf Cu S
2 2 2 6
Direct
0.250 0.750 0.750 Li
0.750 0.250 0.250 Li
0.000 0.000 0.000 Hf
0.000 0.000 0.500 Hf
0.470 0.530 0.250 Cu
0.530 0.470 0.750 Cu
0.089 0.911 0.250 S
0.361 0.639 0.061 S
0.361 0.639 0.439 S
0.639 0.361 0.561 S
0.639 0.361 0.939 S
0.911 0.089 0.750 S
```

---

Entry 19:
The following is a PBE calculation of crystalline LiHfCuS3 at its relaxed geometry, from OQMD via LeMat-Bulk.

SG: Pnma (62)
energy above the lowest structure with this stoichiometry: 0.015 eV per atom
volume: 17.65 Å³ per atom
spin magnetization: 0.0 μB/f.u.

Structure (POSCAR):
```
LiHfCuS3
1.0
9.659 0.000 0.000
0.000 3.614 0.000
0.000 0.000 12.135
Li Hf Cu S
4 4 4 12
Direct
0.205 0.250 0.001 Li
0.295 0.750 0.501 Li
0.705 0.250 0.499 Li
0.795 0.750 0.999 Li
0.014 0.750 0.255 Hf
0.486 0.250 0.755 Hf
0.514 0.750 0.245 Hf
0.986 0.250 0.745 Hf
0.240 0.750 0.778 Cu
0.260 0.250 0.278 Cu
0.740 0.750 0.722 Cu
0.760 0.250 0.222 Cu
0.050 0.750 0.888 S
0.074 0.250 0.391 S
0.239 0.250 0.659 S
0.261 0.750 0.159 S
0.426 0.750 0.891 S
0.450 0.250 0.388 S
0.550 0.750 0.612 S
0.574 0.250 0.109 S
0.739 0.250 0.841 S
0.761 0.750 0.341 S
0.926 0.750 0.609 S
0.950 0.250 0.112 S
```

---

Entry 20:
The following is a PBE calculation of crystalline LiHfCuSe2S at its relaxed geometry, from OQMD via LeMat-Bulk.

SG: P2_1/m (11)
energy above the lowest structure with this stoichiometry: 0.020 eV per atom
volume: 20.03 Å³ per atom
spin magnetization: 0.0 μB/f.u.

Structure (POSCAR):
```
LiHfCuSe2S
1.0
7.438 0.000 0.000
0.000 3.726 0.000
-2.202 0.000 8.671
Li Hf Cu Se S
2 2 2 4 2
Direct
0.238 0.250 0.184 Li
0.762 0.750 0.816 Li
0.190 0.750 0.679 Hf
0.810 0.250 0.321 Hf
0.413 0.250 0.911 Cu
0.587 0.750 0.089 Cu
0.081 0.750 0.352 Se
0.429 0.250 0.646 Se
0.571 0.750 0.354 Se
0.919 0.250 0.648 Se
0.246 0.750 0.968 S
0.754 0.250 0.032 S
```

---

Entry 21:
The following is a PBE calculation of crystalline LiHfCuSe2S at its relaxed geometry, from OQMD via LeMat-Bulk.

SG: Cmcm (63)
energy above the lowest structure with this stoichiometry: 0.036 eV per atom
volume: 19.30 Å³ per atom
spin magnetization: 0.0 μB/f.u.

Structure (POSCAR):
```
LiHfCuSe2S
1.0
1.858 -6.384 0.000
1.858 6.384 0.000
0.000 0.000 9.762
Li Hf Cu Se S
2 2 2 4 2
Direct
0.246 0.754 0.750 Li
0.754 0.246 0.250 Li
0.500 0.500 0.000 Hf
0.500 0.500 0.500 Hf
0.025 0.975 0.250 Cu
0.975 0.025 0.750 Cu
0.144 0.856 0.060 Se
0.144 0.856 0.440 Se
0.856 0.144 0.560 Se
0.856 0.144 0.940 Se
0.416 0.584 0.250 S
0.584 0.416 0.750 S
```

---

Entry 22:
The following is a PBE calculation of crystalline LiHfCuSe2S at its relaxed geometry, from OQMD via LeMat-Bulk.

SG: P2_1/m (11)
energy above the lowest structure with this stoichiometry: 0.000 eV per atom
volume: 19.66 Å³ per atom
spin magnetization: 0.0 μB/f.u.

Structure (POSCAR):
```
LiHfCuSe2S
1.0
7.287 0.000 0.000
0.000 3.720 0.000
-2.313 0.000 8.702
Li Hf Cu Se S
2 2 2 4 2
Direct
0.236 0.250 0.203 Li
0.764 0.750 0.797 Li
0.181 0.750 0.667 Hf
0.819 0.250 0.333 Hf
0.412 0.250 0.907 Cu
0.588 0.750 0.093 Cu
0.222 0.750 0.969 Se
0.434 0.250 0.646 Se
0.566 0.750 0.354 Se
0.778 0.250 0.031 Se
0.072 0.750 0.362 S
0.928 0.250 0.638 S
```

---

Entry 23:
The following is a PBE calculation of crystalline LiHfCuSe2S at its relaxed geometry, from OQMD via LeMat-Bulk.

SG: P2_1/m (11)
energy above the lowest structure with this stoichiometry: 0.001 eV per atom
volume: 19.98 Å³ per atom
spin magnetization: 0.0 μB/f.u.

Structure (POSCAR):
```
LiHfCuSe2S
1.0
7.308 0.000 0.000
0.000 3.729 0.000
-2.198 0.000 8.797
Li Hf Cu Se S
2 2 2 4 2
Direct
0.235 0.250 0.198 Li
0.765 0.750 0.802 Li
0.196 0.750 0.673 Hf
0.804 0.250 0.327 Hf
0.419 0.250 0.906 Cu
0.581 0.750 0.094 Cu
0.087 0.750 0.358 Se
0.226 0.750 0.969 Se
0.774 0.250 0.031 Se
0.913 0.250 0.642 Se
0.419 0.250 0.655 S
0.581 0.750 0.345 S
```